(1)
! Nd4AlTl (GGA-PBE, relaxed); values from VASP
&SYSTEM
  ibrav = 0, nat = 12, ntyp = 3
/
ATOMIC_SPECIES
Nd 144.24 Nd.upf
Al 26.98 Al.upf
Tl 204.38 Tl.upf
ATOMIC_POSITIONS angstrom
Nd -3.790 -3.229 4.981
Nd -3.719 -3.372 0.920
Nd -4.652 -0.003 3.442
Nd -2.857 -6.597 2.459
Nd -2.675 -4.764 8.170
Nd -6.503 -0.951 0.519
Nd -1.006 -5.649 5.382
Nd -4.835 -1.836 -2.269
Al -6.383 -2.614 3.235
Al -1.126 -3.987 2.666
Tl -4.991 -6.159 5.193
Tl -2.519 -0.441 0.708
CELL_PARAMETERS angstrom
-5.398 -0.024 -3.223
1.294 -8.382 3.434
-3.405 1.806 5.689
! Density ... 7143 kg/m³
! Energy relative to the lowest polymorph listed for this composition ... 0 meV/atom
! Total moment ... 0.0 μB/cell
! Formation energy ... -0.202 eV per atom

(2)
! Pr8Sb2Os (GGA-PBE, relaxed); values from VASP
&SYSTEM
  ibrav = 0, nat = 11, ntyp = 3
/
ATOMIC_SPECIES
Pr 140.91 Pr.upf
Sb 121.76 Sb.upf
Os 190.23 Os.upf
ATOMIC_POSITIONS angstrom
Pr -5.370 2.029 5.863
Pr -2.590 -1.826 1.874
Pr -2.614 -0.265 6.784
Pr -8.129 -0.513 5.466
Pr -2.515 1.250 3.690
Pr -2.540 2.811 8.599
Pr 0.240 -1.044 4.610
Pr 2.999 1.498 5.007
Sb -4.885 -0.955 4.393
Sb -0.245 1.940 6.080
Os -0.070 -2.270 0.721
CELL_PARAMETERS angstrom
-0.140 -4.540 1.443
3.961 1.899 6.361
-8.950 3.627 2.669
! Density ... 7316 kg/m³
! VASP energy ... -5.650 eV per atom
! Total moment ... 0.0 μB/cell

(3)
! Ta2AlMo (GGA-PBE, relaxed); values from VASP
&SYSTEM
  ibrav = 0, nat = 4, ntyp = 3
/
ATOMIC_SPECIES
Mo 95.94 Mo.upf
Al 26.98 Al.upf
Ta 180.95 Ta.upf
ATOMIC_POSITIONS angstrom
Mo 2.285 1.320 0.933
Al 4.571 2.639 1.866
Ta 0.000 0.000 0.000
Ta 6.856 3.959 2.799
CELL_PARAMETERS angstrom
4.571 0.000 0.000
2.285 3.959 0.000
2.285 1.320 3.732
! Density ... 11921 kg/m³
! Total moment ... 0.0 μB/cell
! Formation energy ... -0.015 eV per atom

(4)
! KAcP (GGA-PBE, relaxed); values from VASP
&SYSTEM
  ibrav = 0, nat = 3, ntyp = 3
/
ATOMIC_SPECIES
P 30.97 P.upf
Ac 227.00 Ac.upf
K 39.10 K.upf
ATOMIC_POSITIONS angstrom
P 2.025 2.025 3.102
Ac 0.000 0.000 4.085
K 0.000 0.000 0.469
CELL_PARAMETERS angstrom
4.051 0.000 0.000
0.000 4.051 0.000
-2.025 -2.025 7.656
! Density ... 3927 kg/m³
! Energy relative to the lowest polymorph listed for this composition ... 35 meV/atom
! Total moment ... 0.0 μB/cell
! Formation energy ... -0.571 eV per atom

(5)
! Tb5HoTm5 (GGA-PBE, relaxed); values from VASP
&SYSTEM
  ibrav = 0, nat = 11, ntyp = 3
/
ATOMIC_SPECIES
Tb 158.93 Tb.upf
Ho 164.93 Ho.upf
Tm 168.93 Tm.upf
ATOMIC_POSITIONS angstrom
Tb 2.947 -0.640 5.808
Tb 5.049 1.443 3.916
Tb -0.416 2.164 1.920
Tb 3.461 0.030 0.715
Tb 5.563 2.113 -1.177
Ho 0.000 0.000 0.000
Tm 1.901 1.245 3.458
Tm 3.340 3.540 1.182
Tm 2.064 2.045 -1.858
Tm 5.170 -2.067 3.449
Tm 6.609 0.229 1.173
CELL_PARAMETERS angstrom
-0.831 4.328 3.840
5.212 -6.946 4.507
4.129 4.091 -3.716
! Density ... 8554 kg/m³
! Energy relative to the lowest polymorph listed for this composition ... 134 meV/atom
! Total moment ... 0.8 μB/cell
! Formation energy ... 0.285 eV per atom

(6)
! LaNdAu2 (GGA-PBE, relaxed); values from VASP
&SYSTEM
  ibrav = 0, nat = 4, ntyp = 3
/
ATOMIC_SPECIES
La 138.91 La.upf
Nd 144.24 Nd.upf
Au 196.97 Au.upf
ATOMIC_POSITIONS angstrom
La 0.949 0.000 5.588
Nd 0.925 2.412 2.460
Au -1.031 2.412 5.038
Au 2.905 0.000 3.021
CELL_PARAMETERS angstrom
3.949 0.000 -0.024
0.000 4.824 0.000
-1.936 0.000 5.736
! Density ... 10313 kg/m³
! Total moment ... 0.0 μB/cell
! Formation energy ... -0.813 eV per atom

(7)
! RbSrUCl6 (GGA-PBE, relaxed); values from VASP
&SYSTEM
  ibrav = 0, nat = 18, ntyp = 4
/
ATOMIC_SPECIES
Rb 85.47 Rb.upf
Sr 87.62 Sr.upf
U 238.03 U.upf
Cl 35.45 Cl.upf
ATOMIC_POSITIONS angstrom
Rb 0.000 0.000 0.000
Rb 5.496 -4.174 -0.977
Sr 1.122 -3.332 -4.321
Sr 5.595 -9.698 -1.688
U 0.098 -5.524 -0.711
U 6.618 -7.506 -5.298
Cl -1.190 -4.156 -2.746
Cl -2.312 -6.362 0.367
Cl 5.095 -6.441 -7.353
Cl 9.028 -6.668 -6.376
Cl 2.365 -4.796 -2.127
Cl -0.024 -7.972 -2.002
Cl 6.585 -9.760 -6.907
Cl 1.621 -6.588 1.344
Cl 6.741 -5.058 -4.007
Cl 0.131 -3.270 0.898
Cl 4.351 -8.234 -3.882
Cl 7.906 -8.873 -3.263
CELL_PARAMETERS angstrom
-3.673 -5.629 3.387
-0.604 0.947 -7.442
10.992 -8.348 -1.954
! Density ... 3029 kg/m³
! VASP energy ... -4.804 eV per atom
! Total moment ... 6.0 μB/cell

(8)
! Ac6La5 (GGA-PBE, relaxed); values from VASP
&SYSTEM
  ibrav = 0, nat = 11, ntyp = 2
/
ATOMIC_SPECIES
Ac 227.00 Ac.upf
La 138.91 La.upf
ATOMIC_POSITIONS angstrom
Ac 6.089 8.024 -5.532
Ac 2.054 2.622 -1.822
Ac 5.296 -1.205 3.875
Ac 2.823 4.480 1.522
Ac 3.227 9.039 -3.156
Ac 5.700 3.353 -0.803
La 4.072 5.323 -3.677
La 1.163 6.250 -1.388
La 0.809 1.803 3.506
La 4.843 7.041 -0.337
La 3.680 0.793 1.056
CELL_PARAMETERS angstrom
6.550 -0.220 -1.399
1.593 10.866 -5.956
0.379 -2.813 8.073
! Density ... 7111 kg/m³
! Energy relative to the lowest polymorph listed for this composition ... 57 meV/atom
! Total moment ... 0.0 μB/cell
! Formation energy ... 0.160 eV per atom